Entry 1:
A relaxed structure of DyY2Co2B2C3. Source: OQMD via LeMat-Bulk, functional PBE. Values from VASP.

```
&SYSTEM
  ibrav = 0, nat = 10, ntyp = 5
/
ATOMIC_SPECIES
B 10.81 B.upf
C 12.01 C.upf
Co 58.93 Co.upf
Dy 162.50 Dy.upf
Y 88.91 Y.upf
CELL_PARAMETERS angstrom
-2.4066 -9.9003 2.7935
-5.2054 -7.0863 5.8565
1.9456 8.4715 -6.0049
ATOMIC_POSITIONS angstrom
B -1.4824 -3.3081 1.6846
B -6.1296 -13.6785 6.9655
C -0.9240 -2.0620 1.0500
C -3.8060 -8.4933 4.3250
C -6.6880 -14.9247 7.6000
Co -2.1335 -4.9610 0.5568
Co -3.5329 -3.5540 2.0883
Dy 0.0000 0.0000 0.0000
Y -2.8595 -6.3812 3.2495
Y -4.7525 -10.6054 5.4006
```

Calculated values
**Crystal system**: tetragonal

Entry 2:
A relaxed structure of GdYSn2Pt4. Source: OQMD via LeMat-Bulk, functional PBE. Values from VASP.

```
&SYSTEM
  ibrav = 0, nat = 8, ntyp = 4
/
ATOMIC_SPECIES
Gd 157.25 Gd.upf
Pt 195.08 Pt.upf
Sn 118.71 Sn.upf
Y 88.91 Y.upf
CELL_PARAMETERS angstrom
-0.2506 3.1900 3.2700
-3.7940 -2.1318 -1.4116
1.2391 -6.4070 6.3452
ATOMIC_POSITIONS angstrom
Gd 0.0000 0.0000 0.0000
Pt -1.2320 0.3835 2.7321
Pt 0.4209 -2.1764 2.1554
Pt 0.8182 -4.2306 4.1898
Pt -0.3923 -3.9584 7.0320
Sn -2.3012 -1.9691 1.7446
Sn -1.6853 -5.1537 4.8984
Y -0.8121 -1.7874 4.8820
```

Calculated values
**Crystal system**: hexagonal

Entry 3:
A relaxed structure of NaGdAlTe3. Source: OQMD via LeMat-Bulk, functional PBE. Values from VASP.

```
&SYSTEM
  ibrav = 0, nat = 12, ntyp = 4
/
ATOMIC_SPECIES
Al 26.98 Al.upf
Gd 157.25 Gd.upf
Na 22.99 Na.upf
Te 127.60 Te.upf
CELL_PARAMETERS angstrom
2.1169 -7.5878 0.0000
2.1169 7.5878 0.0000
0.0000 0.0000 11.3818
ATOMIC_POSITIONS angstrom
Al 2.1170 0.4531 2.8454
Al 2.1170 -0.4531 8.5363
Gd 0.0000 0.0000 0.0000
Gd 0.0000 0.0000 5.6909
Na 2.1170 -4.0177 2.8454
Na 2.1170 4.0177 8.5363
Te 2.1170 2.1677 0.7769
Te 2.1170 6.2482 2.8454
Te 2.1170 2.1677 4.9140
Te 2.1170 -2.1677 6.4678
Te 2.1170 -6.2482 8.5363
Te 2.1170 -2.1677 10.6048
```

Calculated values
**Crystal system**: orthorhombic

Entry 4:
A relaxed structure of Ta4FeSnN2. Source: OQMD via LeMat-Bulk, functional PBE. Values from VASP.

```
&SYSTEM
  ibrav = 0, nat = 8, ntyp = 4
/
ATOMIC_SPECIES
Fe 55.84 Fe.upf
N 14.01 N.upf
Sn 118.71 Sn.upf
Ta 180.95 Ta.upf
CELL_PARAMETERS angstrom
-0.3393 -1.4017 2.7625
1.7072 -1.3476 -2.2317
11.0850 6.4057 4.6116
ATOMIC_POSITIONS angstrom
Fe 0.0000 0.0000 0.0000
N 3.6104 0.1284 0.5086
N 9.5247 3.5462 2.9690
Sn 5.8854 1.8193 3.4035
Ta 1.9367 -0.4626 1.7608
Ta 3.5938 2.0768 1.4951
Ta 7.4912 4.3290 3.1165
Ta 9.8341 4.1011 5.0463
```

Calculated values
**Crystal system**: hexagonal

Number 1: uncorrected energy -75.92 eV/f.u.. Number 2: uncorrected energy -51.37 eV/f.u.. Number 3: uncorrected energy -24.12 eV/f.u.. Number 4: uncorrected energy -79.55 eV/f.u..